Compound: LiMn2SiH
Source: Alexandria
Functional: PBE-GGA
Structure: relaxed

Summary:
Total energy, eV/atom: -6.0005
N(E_F), states/eV/f.u.: 1.92

Unit cell a=3.7159 b=3.7159 c=3.5671 alpha=90.00 beta=90.00 gamma=90.00
Space group P4/mmm (No. 123)
Symmetry-distinct sites (fractional):
Li (0.0000, 0.0000, 0.0000)
Mn (0.0000, 0.5000, 0.5000)
Si (0.5000, 0.5000, 0.0000)
H (0.0000, 0.0000, 0.5000)